Entry 1:
Material: PmMnCuAu
Method: DFT, GGA-PBE
State: relaxed

The structure in extended XYZ format:
```
4
Lattice="-1.1946 -3.9568 -2.5246 3.3845 -2.3793 -2.5181 1.5002 -4.3609 1.4793" Properties=species:S:1:pos:R:3 pbc="T T T"
Pm 2.7675 -8.0228 -2.6725
Mn 0.9225 -2.6743 -0.8908
Cu 0.0000 0.0000 0.0000
Au 1.8450 -5.3485 -1.7817
```

Values from the calculation:
Fermi-level density of states   3.13 states/eV/cell
Calculated formation energy   -0.139 eV/atom
E   -0.4015 Ry per atom
Magnetization   4.33 μB/cell
SG   F-43m (216)

Entry 2:
Material: Ba2NaZn3Au4
Method: DFT, GGA-PBE
State: relaxed

The structure in extended XYZ format:
```
10
Lattice="4.7494 0.0000 0.0000 0.0000 4.7494 0.0000 0.0000 0.0000 10.9544" Properties=species:S:1:pos:R:3 pbc="T T T"
Au 0.0000 0.0000 0.0000
Au 2.3747 2.3747 0.0000
Au 0.0000 2.3747 3.8589
Au 2.3747 0.0000 7.0955
Zn 0.0000 0.0000 5.4772
Zn 2.3747 0.0000 9.7352
Zn 0.0000 2.3747 1.2193
Ba 2.3747 0.0000 2.5748
Ba 0.0000 2.3747 8.3797
Na 2.3747 2.3747 5.4772
```

Values from the calculation:
Fermi-level density of states   4.05 states/eV/cell
Calculated formation energy   -0.473 eV/atom
E   -0.1972 Ry per atom
Magnetization   0.00 μB/cell
SG   P-4m2 (115)

Entry 3:
Material: VCoS2
Method: DFT, GGA-PBE
State: relaxed

The structure in extended XYZ format:
```
4
Lattice="3.2044 0.0000 0.0000 1.6022 2.7751 0.0000 1.6022 0.9250 5.9068" Properties=species:S:1:pos:R:3 pbc="T T T"
V 3.2044 1.8500 2.8517
Co 3.2044 1.8500 0.1845
S 1.6022 0.9250 4.4192
S 1.6022 0.9250 1.4048
```

Values from the calculation:
Fermi-level density of states   1.45 states/eV/cell
E   -0.4898 Ry per atom
Magnetization   0.00 μB/cell
SG   R3m (160)

Entry 4:
Material: GaNi4B
Method: DFT, GGA-PBE
State: relaxed

The structure in extended XYZ format:
```
12
Lattice="4.2894 -0.0002 -0.3594 -0.0002 5.2446 0.0001 -1.6732 -2.6221 5.7876" Properties=species:S:1:pos:R:3 pbc="T T T"
B 1.2858 2.6223 -0.1067
B 1.3301 0.0001 5.5350
Ni 2.2574 1.2730 1.1624
Ni 2.4483 0.0008 3.4207
Ni -1.6734 1.4655 5.7876
Ni 0.1677 2.6215 2.0076
Ni 0.3585 1.3493 4.2659
Ni 2.2574 3.9700 1.1631
Ni 0.3585 -1.3477 4.2653
Ni 4.2893 1.1568 -0.3593
Ga 2.4321 2.6226 3.2427
Ga 0.1839 -0.0002 2.1856
```

Values from the calculation:
Fermi-level density of states   7.97 states/eV/cell
Calculated formation energy   -0.292 eV/atom
E   -0.4236 Ry per atom
Magnetization   0.00 μB/cell
SG   Immm (71)

Entry 5:
Material: AcTb5Pm4
Method: DFT, GGA-PBE
State: relaxed

The structure in extended XYZ format:
```
10
Lattice="3.6607 0.0000 0.0000 0.0000 3.6607 0.0000 0.0000 0.0000 25.4549" Properties=species:S:1:pos:R:3 pbc="T T T"
Pm 0.0000 0.0000 5.2048
Pm 0.0000 0.0000 15.2332
Pm 0.0000 0.0000 10.2216
Pm 0.0000 0.0000 20.2501
Tb 1.8304 1.8304 17.7343
Tb 1.8304 1.8304 22.7356
Tb 1.8304 1.8304 7.7206
Tb 1.8304 1.8304 2.7193
Tb 1.8304 1.8304 12.7274
Ac 0.0000 0.0000 0.0000
```

Values from the calculation:
Fermi-level density of states   14.33 states/eV/cell
Calculated formation energy   0.029 eV/atom
E   -0.3379 Ry per atom
Magnetization   0.00 μB/cell
SG   P4/mmm (123)

Entry 6:
Material: Sr2Y
Method: DFT, GGA-PBE
State: relaxed

The structure in extended XYZ format:
```
6
Lattice="3.6795 -4.5359 -4.5510 6.2344 -1.2995 -3.7772 5.7558 -5.7603 5.0874" Properties=species:S:1:pos:R:3 pbc="T T T"
Y 2.6633 -2.5369 1.8165
Y 7.6969 -4.8706 -5.0433
Sr 8.0504 -6.5804 0.9406
Sr 5.9886 -5.8168 4.5549
Sr 5.1827 -3.7144 -1.5773
Sr 10.1248 -7.3654 -2.6256
```

Values from the calculation:
Fermi-level density of states   6.95 states/eV/cell
Calculated formation energy   0.167 eV/atom
E   -0.2285 Ry per atom
Relative energy among the computed polymorphs   0.025 eV per atom
Magnetization   0.00 μB/cell
SG   Cm (8)

Entry 7:
Material: SrAuBr2
Method: DFT, GGA-PBE
State: relaxed

The structure in extended XYZ format:
```
4
Lattice="5.4119 0.0000 0.0000 2.7060 4.6869 0.0000 2.7060 1.5623 4.4188" Properties=species:S:1:pos:R:3 pbc="T T T"
Sr 8.1179 4.6869 3.3141
Br 0.0000 0.0000 0.0000
Br 2.7060 1.5623 1.1047
Au 5.4119 3.1246 2.2094
```

Values from the calculation:
Fermi-level density of states   5.00 states/eV/cell
E   -0.2131 Ry per atom
Relative energy among the computed polymorphs   0.277 eV per atom
Magnetization   0.16 μB/cell
SG   F-43m (216)

Entry 8:
Material: Nb3CdB
Method: DFT, GGA-PBE
State: relaxed

The structure in extended XYZ format:
```
5
Lattice="-1.6905 -4.0635 -0.3270 3.6576 -1.6682 1.8212 -1.8004 0.4266 4.0067" Properties=species:S:1:pos:R:3 pbc="T T T"
B 0.0000 0.0000 0.0000
Nb -0.9002 0.2133 2.0034
Nb 1.8288 -0.8341 0.9106
Nb -0.8453 -2.0318 -0.1635
Cd 0.0833 -2.6525 2.7505
```

Values from the calculation:
Fermi-level density of states   0.08 states/eV/cell
Calculated formation energy   -0.004 eV/atom
E   -0.5560 Ry per atom
Relative energy among the computed polymorphs   0.000 eV per atom
Magnetization   0.00 μB/cell
SG   Pm-3m (221)

Entry 9:
Material: KBa2Cl
Method: DFT, GGA-PBE
State: relaxed

The structure in extended XYZ format:
```
4
Lattice="-1.2599 -3.9720 1.2911 2.4221 0.4109 3.6278 -7.9246 4.9158 7.3900" Properties=species:S:1:pos:R:3 pbc="T T T"
K -3.7302 1.3740 7.9573
Ba -7.3396 4.7210 7.3618
Ba -1.4457 -0.6305 4.0196
Cl -4.9228 3.4692 5.8691
```

Values from the calculation:
Fermi-level density of states   2.87 states/eV/cell
E   -0.1850 Ry per atom
Relative energy among the computed polymorphs   0.010 eV per atom
Magnetization   0.14 μB/cell
SG   Pm (6)

Entry 10:
Material: NaSr2ScRh
Method: DFT, GGA-PBE
State: relaxed

The structure in extended XYZ format:
```
5
Lattice="-2.2313 -2.4446 -5.0727 -0.3962 -5.3748 2.7645 -4.6083 1.1077 1.4932" Properties=species:S:1:pos:R:3 pbc="T T T"
Sc -2.3042 0.5538 0.7466
Rh 0.0000 0.0000 0.0000
Na -3.6179 -3.3559 -0.4076
Sr -1.1156 -1.2223 -2.5364
Sr -0.1981 -2.6874 1.3822
```

Values from the calculation:
Fermi-level density of states   3.28 states/eV/cell
Calculated formation energy   -0.141 eV/atom
E   -0.2804 Ry per atom
Magnetization   0.00 μB/cell
SG   P4/mmm (123)

Entry 11:
Material: CaHo2AgHg4
Method: DFT, GGA-PBE
State: relaxed

The structure in extended XYZ format:
```
8
Lattice="-0.0953 -3.8379 -3.3986 0.0058 -4.8633 1.6241 -8.5025 -2.8501 -0.4107" Properties=species:S:1:pos:R:3 pbc="T T T"
Hg -1.1101 -5.7946 -1.1606
Hg -5.3433 -2.8688 -0.4781
Hg -3.2488 -8.6825 -1.7071
Hg -7.4819 -5.7567 -1.0246
Ag -4.2960 -5.7756 -1.0926
Ho -2.2907 -2.8870 -0.5433
Ho -6.3014 -8.6643 -1.6420
Ca 0.0000 0.0000 0.0000
```

Values from the calculation:
Fermi-level density of states   5.79 states/eV/cell
Calculated formation energy   -0.394 eV/atom
E   -0.1687 Ry per atom
Magnetization   0.00 μB/cell
SG   R-3m (166)

Entry 12:
Material: ScTl2Zn2
Method: DFT, GGA-PBE
State: relaxed

The structure in extended XYZ format:
```
5
Lattice="-2.6514 -1.7861 1.7309 1.9441 0.0898 3.0706 -3.9627 6.5152 4.4704" Properties=species:S:1:pos:R:3 pbc="T T T"
Zn -3.4839 1.9405 4.3010
Zn -1.1861 2.8784 4.9709
Tl -3.5329 4.0687 6.4219
Tl -1.1371 0.7502 2.8500
Sc 0.0000 0.0000 0.0000
```

Values from the calculation:
Fermi-level density of states   2.45 states/eV/cell
Calculated formation energy   0.054 eV/atom
E   -0.1961 Ry per atom
Relative energy among the computed polymorphs   0.026 eV per atom
Magnetization   0.00 μB/cell
SG   I4/mmm (139)